1.
# CrMo5

A relaxed CrMo5 crystal (PBE-GGA, the Alexandria database).

abc: 3.1282 5.1685 6.2522
angles: 72.48 90.00 107.61
Element x y z (fractional)
Cr1 0.0277 0.0554 0.9445
Mo1 0.3622 0.7244 0.7812
Mo2 0.6917 0.3834 0.6170
Mo3 0.0278 0.0556 0.4444
Mo4 0.3639 0.7278 0.2719
Mo5 0.6934 0.3868 0.1077

Formation enthalpy at 0 K ... 0.93 kcal/mol of atoms
ΔE to the lowest computed polymorph ... 11 meV per atom
Fermi-level density of states ... 5.74 states/eV/cell

2.
# CrMo5

A relaxed CrMo5 crystal (PBE-GGA, the Alexandria database).

abc: 5.1895 5.1895 5.1895
angles: 60.00 60.00 60.00
Element x y z (fractional)
Cr1 0.0000 0.0000 0.0000
Mo1 0.6246 0.6246 0.1261
Mo2 0.2500 0.2500 0.2500
Mo3 0.6246 0.6246 0.6246
Mo4 0.1261 0.6246 0.6246
Mo5 0.6246 0.1261 0.6246

Formation enthalpy at 0 K ... 9.12 kcal/mol of atoms
ΔE to the lowest computed polymorph ... 366 meV per atom
Fermi-level density of states ... 3.70 states/eV/cell

3.
# Cr3Mo

A relaxed Cr3Mo crystal (PBE-GGA, the Alexandria database).

abc: 4.1655 2.9574 4.8645
angles: 72.30 64.65 90.00
Element x y z (fractional)
Cr1 0.0031 0.0031 0.9938
Cr2 0.2500 0.7500 0.5000
Cr3 0.4969 0.4969 0.0062
Mo1 0.7500 0.2500 0.5000

Formation enthalpy at 0 K ... 1.48 kcal/mol of atoms
Fermi-level density of states ... 3.13 states/eV/cell

4.
# CrMo4

A relaxed CrMo4 crystal (PBE-GGA, the Alexandria database).

abc: 3.1193 5.1594 5.1594
angles: 95.24 107.60 72.40
Element x y z (fractional)
Cr1 0.0000 0.0000 0.0000
Mo1 0.7960 0.8036 0.3957
Mo2 0.2040 0.1964 0.6043
Mo3 0.5997 0.6043 0.8036
Mo4 0.4003 0.3957 0.1964

Formation enthalpy at 0 K ... 0.93 kcal/mol of atoms
ΔE to the lowest computed polymorph ... 0 meV per atom
Fermi-level density of states ... 4.03 states/eV/cell